Computed, not measured: a geometry-optimized Hf12Sb3Mo5 structure at the PBE level of DFT.

Summary:
SG: Ia-3d
DFT total energy in eV per atom: -8.434

Cell and atoms, written as POSCAR:
```
Hf12Sb3Mo5
1.0
-10.430 -3.012 8.554
-3.794 -2.685 -13.016
11.007 -7.692 3.270
Mo Sb Hf
20 12 48
Cartesian
0.267 -10.627 -1.555
-1.609 -6.694 -0.596
-0.022 -5.275 -7.467
0.025 -3.306 -2.994
3.870 -7.234 4.033
0.000 0.000 0.000
-4.552 -4.064 -8.842
0.288 -5.352 5.912
-5.215 -1.506 4.277
-3.484 -2.762 0.362
3.607 -5.188 -4.873
-3.242 -10.082 1.802
-6.066 -6.821 -0.494
-1.897 -1.342 -6.508
1.334 -9.325 7.649
-3.196 -8.114 6.274
2.849 -6.567 -0.699
-7.112 -2.848 -2.231
5.504 -3.846 1.635
-7.087 -6.154 -5.226
7.379 -7.778 0.676
0.123 -7.951 -4.511
3.632 -8.495 -7.868
1.046 -3.973 1.738
-6.849 -4.894 6.675
4.652 -9.162 -3.136
-4.263 -9.415 -2.930
-10.596 -5.610 -1.869
-3.340 -5.438 3.318
-7.870 -4.227 1.943
-3.531 -4.730 -4.110
0.314 -8.658 2.917
-5.831 -6.532 1.999
-2.988 -7.749 8.759
3.228 -9.564 3.318
-3.897 -6.594 -1.757
-0.873 -3.896 4.143
-0.888 -5.650 -2.829
8.489 -8.129 3.526
-1.901 -6.286 -6.126
0.680 -6.795 0.564
-4.326 -3.585 5.494
1.653 -6.049 3.851
4.214 -10.629 -5.806
-7.431 -2.760 4.613
3.568 -4.254 -0.003
1.860 -10.271 -3.475
-0.229 -5.640 -9.952
0.740 -2.331 -0.783
-10.361 -5.770 1.196
-1.442 -8.831 -2.011
1.349 -10.452 0.715
4.534 -8.364 -0.165
-1.775 -4.557 0.818
-1.296 -11.281 2.864
-8.261 -6.148 4.245
-1.921 -2.108 -4.057
1.109 -9.804 -6.687
1.974 -6.414 -6.431
2.614 -6.856 -3.192
-6.445 -3.824 -4.511
-0.231 -9.757 9.577
-8.913 -7.184 -3.827
-5.077 -3.118 2.282
-3.958 -11.057 -0.410
0.542 -10.283 5.457
-11.707 -5.260 -4.718
5.696 -6.204 2.634
7.143 -7.619 -2.388
-2.330 -7.739 1.636
-7.752 -5.025 -1.028
-2.344 -9.492 -5.336
-1.316 -7.102 4.934
-6.786 -9.134 -1.189
-3.759 -3.105 -6.650
-4.566 -2.936 -1.907
-4.870 -7.340 -5.043
5.044 -7.240 -5.437
-2.986 -3.632 -10.770
-5.191 -6.975 5.238
```

---

Computed, not measured: a geometry-optimized RbZrSc structure at the PBE level of DFT.

Summary:
Energy of formation in eV/atom: 0.34
SG: Cmcm
DFT total energy in eV per atom: -4.938

Cell and atoms, written as POSCAR:
```
RbZrSc
1.0
1.716 -13.263 0.000
1.716 13.263 0.000
0.000 0.000 5.112
Rb Zr Sc
2 2 2
Cartesian
1.716 -8.606 1.278
1.716 8.606 3.834
1.716 -12.534 1.278
1.716 12.534 3.834
1.716 1.809 3.834
1.716 -1.809 1.278
```

---

Computed, not measured: a geometry-optimized UPt4Rh structure at the PBE level of DFT.

Summary:
Energy of formation in eV/atom: -0.55
SG: Cmmm
DFT total energy in eV per atom: -7.683

Cell and atoms, written as POSCAR:
```
UPt4Rh
1.0
7.115 -1.108 0.000
-2.381 3.956 0.000
0.000 0.000 7.947
Pt Rh U
8 2 2
Cartesian
0.619 1.719 3.315
1.810 -0.259 4.632
2.924 3.108 3.315
1.810 -0.259 7.289
4.115 1.129 7.289
4.115 1.129 4.632
0.619 1.719 0.658
2.924 3.107 0.658
2.962 0.435 1.987
1.772 2.413 5.960
-0.595 0.989 5.960
-1.786 2.967 1.987
```

---

Computed, not measured: a geometry-optimized Pm4SnTe3 structure at the PBE level of DFT.

Summary:
SG: Pm-3m
DFT total energy in eV per atom: -5.358

Cell and atoms, written as POSCAR:
```
Pm4SnTe3
1.0
-4.588 4.343 -0.364
-4.340 -4.601 -0.199
-0.401 0.105 6.314
Pm Te Sn
4 3 1
Cartesian
-2.170 -2.300 -0.100
-4.664 -0.076 2.876
-2.294 2.172 -0.182
-0.201 0.053 3.157
-2.494 2.224 2.975
-4.464 -0.129 -0.281
-2.371 -2.248 3.058
0.000 0.000 0.000
```

---

Computed, not measured: a geometry-optimized PmTmBe2 structure at the PBE level of DFT.

Summary:
Energy of formation in eV/atom: 0.13
SG: P4/mmm
DFT total energy in eV per atom: -4.043

Cell and atoms, written as POSCAR:
```
PmTmBe2
1.0
3.419 0.000 0.000
0.000 3.419 0.000
0.000 0.000 6.889
Pm Tm Be
1 1 2
Cartesian
1.709 1.709 3.444
1.709 1.709 0.000
0.000 0.000 5.365
0.000 0.000 1.524
```

---

Computed, not measured: a geometry-optimized KEu2Ir structure at the PBE level of DFT.

Summary:
Energy of formation in eV/atom: -0.12
SG: R-3m
DFT total energy in eV per atom: -7.742

Cell and atoms, written as POSCAR:
```
KEu2Ir
1.0
4.223 0.000 0.000
2.112 3.657 0.000
2.112 1.219 11.165
Eu Ir K
2 1 1
Cartesian
6.334 3.657 4.084
2.112 1.219 7.082
4.223 2.438 5.583
0.000 0.000 0.000
```

---

Computed, not measured: a geometry-optimized Ce2Ho5Er2 structure at the PBE level of DFT.

Summary:
Energy of formation in eV/atom: 0.12
SG: C2/m
DFT total energy in eV per atom: -4.759

Cell and atoms, written as POSCAR:
```
Ce2Ho5Er2
1.0
-3.666 -3.393 2.432
0.785 0.779 8.616
-4.142 4.505 6.387
Ho Ce Er
5 2 2
Cartesian
-4.163 4.047 12.061
-4.389 1.389 14.358
-2.634 0.503 3.076
0.000 0.000 0.000
-2.859 -2.156 5.373
-2.143 2.302 6.327
-4.880 -0.411 11.107
-2.468 -0.399 8.413
-4.555 2.291 9.021
```

---

Computed, not measured: a geometry-optimized TbScRuRh structure at the PBE level of DFT.

Summary:
Energy of formation in eV/atom: -0.68
SG: P4mm
DFT total energy in eV per atom: -7.581

Cell and atoms, written as POSCAR:
```
TbScRuRh
1.0
3.323 0.000 0.000
0.000 3.323 0.000
0.000 0.000 6.645
Tb Sc Rh Ru
1 1 1 1
Cartesian
1.661 1.661 0.682
1.661 1.661 4.073
0.000 0.000 2.468
0.000 0.000 5.589
```

---

Computed, not measured: a geometry-optimized MgBeAg2 structure at the PBE level of DFT.

Summary:
Energy of formation in eV/atom: 0.04
SG: Cm
DFT total energy in eV per atom: -2.716

Cell and atoms, written as POSCAR:
```
MgBeAg2
1.0
-1.175 -0.552 5.153
-3.122 -2.423 3.553
1.793 -3.512 1.926
Ag Mg Be
2 1 1
Cartesian
-0.442 -1.633 2.447
-4.250 -2.980 8.655
-2.001 -4.849 8.106
-1.360 -3.242 5.445
```

---

Computed, not measured: a geometry-optimized CsHg2Se2 structure at the PBE level of DFT.

Summary:
SG: I4/mmm
DFT total energy in eV per atom: -2.093

Cell and atoms, written as POSCAR:
```
CsHg2Se2
1.0
5.066 0.000 0.000
0.000 5.066 0.000
2.533 2.533 6.615
Se Hg Cs
2 2 1
Cartesian
2.533 2.533 1.969
5.066 5.066 4.646
5.066 2.533 3.308
2.533 5.066 3.308
0.000 0.000 0.000
```

---

Computed, not measured: a geometry-optimized BaNbBr3 structure at the PBE level of DFT.

Summary:
SG: Pm-3m
DFT total energy in eV per atom: -3.605

Cell and atoms, written as POSCAR:
```
BaNbBr3
1.0
-3.077 0.767 -5.366
-1.527 -6.043 0.012
-5.201 1.321 3.171
Br Ba Nb
3 1 1
Cartesian
-0.763 -3.022 0.006
-1.539 0.383 -2.683
-2.600 0.660 1.586
0.000 0.000 0.000
-4.902 -1.978 -1.091
```

---

Computed, not measured: a geometry-optimized AlCuSe2 structure at the PBE level of DFT.

Summary:
SG: Cmmm
DFT total energy in eV per atom: -3.840

Cell and atoms, written as POSCAR:
```
AlCuSe2
1.0
-1.850 -0.853 -3.898
3.951 -0.910 1.705
-2.483 -6.080 2.509
Se Cu Al
2 1 1
Cartesian
-1.242 -3.040 1.255
-2.483 -6.080 2.509
-0.812 -5.442 0.785
0.430 -2.402 -0.469
```

---

Question: Look up the DFT total energy of the tenth one.
Answer: -2.093 eV per atom

---

Copy entry 3 word for word.
Computed, not measured: a geometry-optimized UPt4Rh structure at the PBE level of DFT.

Summary:
Energy of formation in eV/atom: -0.55
SG: Cmmm
DFT total energy in eV per atom: -7.683

Cell and atoms, written as POSCAR:
```
UPt4Rh
1.0
7.115 -1.108 0.000
-2.381 3.956 0.000
0.000 0.000 7.947
Pt Rh U
8 2 2
Cartesian
0.619 1.719 3.315
1.810 -0.259 4.632
2.924 3.108 3.315
1.810 -0.259 7.289
4.115 1.129 7.289
4.115 1.129 4.632
0.619 1.719 0.658
2.924 3.107 0.658
2.962 0.435 1.987
1.772 2.413 5.960
-0.595 0.989 5.960
-1.786 2.967 1.987
```

---

Question: What is the formula in the eighth record?
Answer: TbScRuRh

---

Question: The lowest DFT total energy belongs to which entry?
Answer: Hf12Sb3Mo5